No. 1
Computed, not measured: crystalline Np2Co3Ge4Os at its relaxed geometry at the PBE-GGA level of DFT.

Unit cell a=4.0958 b=4.0958 c=9.7003 alpha=90.00 beta=90.00 gamma=90.00
Closest atoms and distances in Å follow each position.
Fractional coordinates of all 10 atoms:
Np1 0.0000 0.5000 0.2466  8 Ge 3.11-3.15, 6 Co 3.13-3.20, 2 Os 3.20
Np2 0.5000 0.0000 0.7534  8 Ge 3.11-3.15, 6 Co 3.13-3.20, 2 Os 3.20
Co1 0.0000 0.5000 0.8754  5 Ge 2.31-2.38
Co2 0.5000 0.0000 0.1246  5 Ge 2.31-2.38
Co3 0.5000 0.5000 0.5000  4 Ge 2.45
Ge1 0.0000 0.0000 0.0000  4 Co 2.38
Ge2 0.0000 0.5000 0.6377  3 Co 2.31-2.45, 2 Os 2.45
Ge3 0.5000 0.0000 0.3623  3 Co 2.31-2.45, 2 Os 2.45
Ge4 0.5000 0.5000 0.0000  4 Co 2.38
Os1 0.0000 0.0000 0.5000  4 Ge 2.45

Results
volume: 16.27 Å³ per atom
formation energy from the elements: -239 meV/atom
final energy: -7.928 eV/atom
theoretical density: 11547 kg/m³
crystal system: tetragonal

=====

No. 2
Computed, not measured: crystalline Np2Co4GeP3 at its relaxed geometry at the PBE-GGA level of DFT.

Unit cell a=3.9159 b=3.9159 c=9.2675 alpha=90.00 beta=90.00 gamma=90.00
Closest atoms and distances in Å follow each position.
Fractional coordinates of all 10 atoms:
Np1 0.0000 0.5000 0.2465  6 P 2.97-3.06, 8 Co 3.00-3.01, 2 Ge 3.06
Np2 0.5000 0.0000 0.7535  6 P 2.97-3.06, 8 Co 3.00-3.01, 2 Ge 3.06
Co1 0.0000 0.0000 0.0000  4 P 2.30
Co2 0.0000 0.5000 0.6292  3 P 2.22-2.29, 2 Ge 2.29
Co3 0.5000 0.0000 0.3708  3 P 2.22-2.29, 2 Ge 2.29
Co4 0.5000 0.5000 0.0000  4 P 2.30
Ge1 0.0000 0.0000 0.5000  4 Co 2.29
P1 0.0000 0.5000 0.8692  5 Co 2.22-2.30
P2 0.5000 0.0000 0.1308  5 Co 2.22-2.30
P3 0.5000 0.5000 0.5000  4 Co 2.29

Results
volume: 14.21 Å³ per atom
formation energy from the elements: -632 meV/atom
final energy: -8.148 eV/atom
theoretical density: 10228 kg/m³
crystal system: tetragonal

=====

No. 3
Computed, not measured: crystalline NpCo4GeP2 at its relaxed geometry at the PBE-GGA level of DFT.

Unit cell a=3.7898 b=3.7898 c=7.6018 alpha=90.00 beta=90.00 gamma=90.00
Closest atoms and distances in Å follow each position.
Fractional coordinates of all 8 atoms:
Np1 0.0000 0.0000 0.0000  8 P 2.97, 8 Co 3.05
Co1 0.0000 0.5000 0.3137  2 P 2.20, 2 Ge 2.37
Co2 0.0000 0.5000 0.6863  2 P 2.20, 2 Ge 2.37
Co3 0.5000 0.0000 0.3137  2 P 2.20, 2 Ge 2.37
Co4 0.5000 0.0000 0.6863  2 P 2.20, 2 Ge 2.37
Ge1 0.0000 0.0000 0.5000  8 Co 2.37
P1 0.5000 0.5000 0.1679  4 Co 2.20
P2 0.5000 0.5000 0.8321  4 Co 2.20

Results
volume: 13.65 Å³ per atom
formation energy from the elements: -498 meV/atom
final energy: -7.599 eV/atom
theoretical density: 9237 kg/m³
crystal system: tetragonal

=====

No. 4
Computed, not measured: crystalline NpCo2GeP at its relaxed geometry at the PBE-GGA level of DFT.

Unit cell a=3.7780 b=3.7364 c=11.9099 alpha=90.00 beta=90.00 gamma=90.00
Closest atoms and distances in Å follow each position.
Fractional coordinates of all 10 atoms:
Np1 0.0000 0.0000 0.0000  2 P 2.78, 4 Ge 2.98
Np2 0.0000 0.5000 0.5000  2 P 2.78, 4 Ge 2.98
Co1 0.0000 0.0000 0.2673  2 P 2.18, 2 Ge 2.36
Co2 0.0000 0.5000 0.7673  2 P 2.18, 2 Ge 2.36
Co3 0.5000 0.0000 0.7644  2 P 2.18, 2 Ge 2.36
Co4 0.5000 0.5000 0.2644  2 P 2.18, 2 Ge 2.36
Ge1 0.5000 0.0000 0.3859  4 Co 2.36
Ge2 0.5000 0.5000 0.8859  4 Co 2.36
P1 0.0000 0.0000 0.6733  4 Co 2.18
P2 0.0000 0.5000 0.1733  4 Co 2.18

Results
volume: 16.81 Å³ per atom
formation energy from the elements: -354 meV/atom
final energy: -7.790 eV/atom
theoretical density: 9057 kg/m³
crystal system: orthorhombic

=====

> The highest formation energy from the elements belongs to which entry?

Np2Co3Ge4Os

=====

Please write out number 1 again, unchanged.
Computed, not measured: crystalline Np2Co3Ge4Os at its relaxed geometry at the PBE-GGA level of DFT.

Unit cell a=4.0958 b=4.0958 c=9.7003 alpha=90.00 beta=90.00 gamma=90.00
Closest atoms and distances in Å follow each position.
Fractional coordinates of all 10 atoms:
Np1 0.0000 0.5000 0.2466  8 Ge 3.11-3.15, 6 Co 3.13-3.20, 2 Os 3.20
Np2 0.5000 0.0000 0.7534  8 Ge 3.11-3.15, 6 Co 3.13-3.20, 2 Os 3.20
Co1 0.0000 0.5000 0.8754  5 Ge 2.31-2.38
Co2 0.5000 0.0000 0.1246  5 Ge 2.31-2.38
Co3 0.5000 0.5000 0.5000  4 Ge 2.45
Ge1 0.0000 0.0000 0.0000  4 Co 2.38
Ge2 0.0000 0.5000 0.6377  3 Co 2.31-2.45, 2 Os 2.45
Ge3 0.5000 0.0000 0.3623  3 Co 2.31-2.45, 2 Os 2.45
Ge4 0.5000 0.5000 0.0000  4 Co 2.38
Os1 0.0000 0.0000 0.5000  4 Ge 2.45

Results
volume: 16.27 Å³ per atom
formation energy from the elements: -239 meV/atom
final energy: -7.928 eV/atom
theoretical density: 11547 kg/m³
crystal system: tetragonal

=====

> final energy of number 1 (Np2Co3Ge4Os)?

-7.928 eV/atom

=====

> Which formula does entry 4 have?

NpCo2GeP